[1]
Pu2SbRh | PBE | relaxed

```
Pu2SbRh
1.0
-3.2640 -0.8390 1.3504
3.4145 -3.4188 1.2439
0.2637 4.0994 3.1861
Pu Sb Rh
2 1 1
Cartesian
-0.5761 -0.4148 3.7967
0.2646 0.9682 1.8071
0.9250 -2.0748 1.5106
-1.3694 2.7909 3.8691
```

Calculated values
offset from the most stable computed form: 152 meV/atom
E_tot: -10.4080 eV/atom
spin magnetization: 0.57 μB/cell
formation energy from raw total energies: -373.5 meV per atom



[2]
Pu2SbRh | PBE | relaxed

```
Pu2SbRh
1.0
-0.0163 -0.3319 3.8846
-1.1260 -3.7187 -0.3225
5.6337 -1.6953 -0.1212
Pu Rh Sb
2 1 1
Cartesian
4.3038 -1.2951 -0.0926
1.3300 -0.4002 -0.0286
-0.5711 -2.0253 1.7811
2.2457 -2.8730 1.7205
```

Calculated values
offset from the most stable computed form: 0 meV/atom
E_tot: -10.5602 eV/atom
spin magnetization: 10.66 μB/cell
formation energy from raw total energies: -525.8 meV per atom